Computed, not measured: crystalline TeAsPbSe2 at its relaxed geometry at the PBE-GGA level of DFT.

Properties
Relative energy among the computed polymorphs: 0.000 eV per atom
Crystal system: tetragonal

```
data_TeAsPbSe2
_chemical_formula_sum 'Te1 As1 Pb1 Se2'
_cell_length_a 5.3790
_cell_length_b 5.3790
_cell_length_c 5.3014
_cell_angle_alpha 90.00
_cell_angle_beta 90.00
_cell_angle_gamma 90.00
_symmetry_space_group_name_H-M 'P 4/m m m'
_symmetry_Int_Tables_number 123
_symmetry_space_group_name_Hall '-P 4 2'
loop_
_atom_site_label
_atom_site_type_symbol
_atom_site_fract_x
_atom_site_fract_y
_atom_site_fract_z
_atom_site_occupancy
Te1 Te 0.0000 0.0000 0.0000 1
As1 As 0.0000 0.0000 0.5000 1
Pb1 Pb 0.5000 0.5000 0.5000 1
Se1 Se 0.0000 0.5000 0.0000 1
```



Computed, not measured: crystalline Th6As3PbSe2 at its relaxed geometry at the PBE-GGA level of DFT.

Properties
Crystal system: monoclinic

```
data_Th6As3PbSe2
_chemical_formula_sum 'Th12 As6 Pb2 Se4'
_cell_length_a 18.7726
_cell_length_b 4.3100
_cell_length_c 8.5870
_cell_angle_alpha 90.00
_cell_angle_beta 104.03
_cell_angle_gamma 90.00
_symmetry_space_group_name_H-M 'C 1 2/m 1'
_symmetry_Int_Tables_number 12
loop_
_symmetry_equiv_pos_as_xyz
'x,y,z'
'-x,-y,-z'
'-x,y,-z'
'x,-y,z'
'x+1/2,y+1/2,z'
'-x+1/2,-y+1/2,-z'
'-x+1/2,y+1/2,-z'
'x+1/2,-y+1/2,z'
loop_
_atom_site_label
_atom_site_type_symbol
_atom_site_fract_x
_atom_site_fract_y
_atom_site_fract_z
_atom_site_occupancy
Th1 Th 0.9999 0.0000 0.2323 1
Th2 Th 0.1648 0.5000 0.0868 1
Th3 Th 0.1735 0.5000 0.5792 1
As1 As 0.0000 0.5000 0.0000 1
As2 As 0.1635 0.0000 0.3299 1
Pb1 Pb 0.0000 0.5000 0.5000 1
Se1 Se 0.1681 0.0000 0.8328 1
```



Computed, not measured: crystalline Th6As2PbSe3 at its relaxed geometry at the PBE-GGA level of DFT.

Properties
Crystal system: monoclinic

```
data_Th6As2PbSe3
_chemical_formula_sum 'Th12 As4 Pb2 Se6'
_cell_length_a 18.6295
_cell_length_b 4.3238
_cell_length_c 8.5172
_cell_angle_alpha 90.00
_cell_angle_beta 102.42
_cell_angle_gamma 90.00
_symmetry_space_group_name_H-M 'C 1 2/m 1'
_symmetry_Int_Tables_number 12
loop_
_symmetry_equiv_pos_as_xyz
'x,y,z'
'-x,-y,-z'
'-x,y,-z'
'x,-y,z'
'x+1/2,y+1/2,z'
'-x+1/2,-y+1/2,-z'
'-x+1/2,y+1/2,-z'
'x+1/2,-y+1/2,z'
loop_
_atom_site_label
_atom_site_type_symbol
_atom_site_fract_x
_atom_site_fract_y
_atom_site_fract_z
_atom_site_occupancy
Th1 Th 0.0044 0.0000 0.2692 1
Th2 Th 0.1674 0.5000 0.5796 1
Th3 Th 0.1739 0.5000 0.0904 1
As1 As 0.1687 0.0000 0.3336 1
Pb1 Pb 0.0000 0.5000 0.0000 1
Se1 Se 0.0000 0.5000 0.5000 1
Se2 Se 0.1613 0.0000 0.8308 1
```



Computed, not measured: crystalline Tm6AsPb3Se2 at its relaxed geometry at the PBE-GGA level of DFT.

Properties
Crystal system: monoclinic

```
data_Tm6AsPb3Se2
_chemical_formula_sum 'Tm12 As2 Pb6 Se4'
_cell_length_a 6.9678
_cell_length_b 12.1012
_cell_length_c 7.8341
_cell_angle_alpha 90.00
_cell_angle_beta 107.35
_cell_angle_gamma 90.00
_symmetry_space_group_name_H-M 'C 1 2/m 1'
_symmetry_Int_Tables_number 12
loop_
_symmetry_equiv_pos_as_xyz
'x,y,z'
'-x,-y,-z'
'-x,y,-z'
'x,-y,z'
'x+1/2,y+1/2,z'
'-x+1/2,-y+1/2,-z'
'-x+1/2,y+1/2,-z'
'x+1/2,-y+1/2,z'
loop_
_atom_site_label
_atom_site_type_symbol
_atom_site_fract_x
_atom_site_fract_y
_atom_site_fract_z
_atom_site_occupancy
Tm1 Tm 0.2372 0.1643 0.2183 1
Tm2 Tm 0.2466 0.5000 0.2224 1
As1 As 0.0000 0.0000 0.0000 1
Pb1 Pb 0.0000 0.1703 0.5000 1
Pb2 Pb 0.0000 0.5000 0.5000 1
Se1 Se 0.0000 0.3343 0.0000 1
```



Computed, not measured: crystalline Tm6As2PbSe3 at its relaxed geometry at the PBE-GGA level of DFT.

Properties
Crystal system: monoclinic

```
data_Tm6As2PbSe3
_chemical_formula_sum 'Tm12 As4 Pb2 Se6'
_cell_length_a 17.8860
_cell_length_b 4.0988
_cell_length_c 8.2436
_cell_angle_alpha 90.00
_cell_angle_beta 102.89
_cell_angle_gamma 90.00
_symmetry_space_group_name_H-M 'C 1 2/m 1'
_symmetry_Int_Tables_number 12
loop_
_symmetry_equiv_pos_as_xyz
'x,y,z'
'-x,-y,-z'
'-x,y,-z'
'x,-y,z'
'x+1/2,y+1/2,z'
'-x+1/2,-y+1/2,-z'
'-x+1/2,y+1/2,-z'
'x+1/2,-y+1/2,z'
loop_
_atom_site_label
_atom_site_type_symbol
_atom_site_fract_x
_atom_site_fract_y
_atom_site_fract_z
_atom_site_occupancy
Tm1 Tm 0.0038 0.0000 0.2614 1
Tm2 Tm 0.1705 0.5000 0.0970 1
Tm3 Tm 0.1710 0.5000 0.5769 1
As1 As 0.1676 0.0000 0.3361 1
Pb1 Pb 0.0000 0.5000 0.0000 1
Se1 Se 0.0000 0.5000 0.5000 1
Se2 Se 0.1659 0.0000 0.8321 1
```



Computed, not measured: crystalline Tm4AsPb2Se at its relaxed geometry at the PBE-GGA level of DFT.

Properties
Crystal system: monoclinic

```
data_Tm4AsPb2Se
_chemical_formula_sum 'Tm4 As1 Pb2 Se1'
_cell_length_a 6.8981
_cell_length_b 4.0113
_cell_length_c 7.9519
_cell_angle_alpha 90.00
_cell_angle_beta 107.08
_cell_angle_gamma 90.00
_symmetry_space_group_name_H-M 'P 1 2/m 1'
_symmetry_Int_Tables_number 10
loop_
_symmetry_equiv_pos_as_xyz
'x,y,z'
'-x,-y,-z'
'-x,y,-z'
'x,-y,z'
loop_
_atom_site_label
_atom_site_type_symbol
_atom_site_fract_x
_atom_site_fract_y
_atom_site_fract_z
_atom_site_occupancy
Tm1 Tm 0.2349 0.0000 0.2143 1
Tm2 Tm 0.2563 0.5000 0.7827 1
As1 As 0.0000 0.5000 0.0000 1
Pb1 Pb 0.0000 0.0000 0.5000 1
Pb2 Pb 0.5000 0.5000 0.5000 1
Se1 Se 0.5000 0.0000 0.0000 1
```



Computed, not measured: crystalline VAs2PbSe at its relaxed geometry at the PBE-GGA level of DFT.

Properties
Relative energy among the computed polymorphs: 0.000 eV per atom
Crystal system: tetragonal

```
data_VAs2PbSe
_chemical_formula_sum 'V1 As2 Pb1 Se1'
_cell_length_a 4.8071
_cell_length_b 4.8071
_cell_length_c 5.5334
_cell_angle_alpha 90.00
_cell_angle_beta 90.00
_cell_angle_gamma 90.00
_symmetry_space_group_name_H-M 'P 4/m m m'
_symmetry_Int_Tables_number 123
_symmetry_space_group_name_Hall '-P 4 2'
loop_
_atom_site_label
_atom_site_type_symbol
_atom_site_fract_x
_atom_site_fract_y
_atom_site_fract_z
_atom_site_occupancy
V1 V 0.0000 0.0000 0.0000 1
As1 As 0.0000 0.5000 0.0000 1
Pb1 Pb 0.5000 0.5000 0.5000 1
Se1 Se 0.0000 0.0000 0.5000 1
```



Computed, not measured: crystalline ZnAs2PbSe at its relaxed geometry at the PBE-GGA level of DFT.

Properties
Relative energy among the computed polymorphs: 0.600 eV per atom
Crystal system: tetragonal

```
data_ZnAs2PbSe
_chemical_formula_sum 'Zn1 As2 Pb1 Se1'
_cell_length_a 5.6377
_cell_length_b 5.6377
_cell_length_c 5.5428
_cell_angle_alpha 90.00
_cell_angle_beta 90.00
_cell_angle_gamma 90.00
_symmetry_space_group_name_H-M 'P 4/m m m'
_symmetry_Int_Tables_number 123
_symmetry_space_group_name_Hall '-P 4 2'
loop_
_atom_site_label
_atom_site_type_symbol
_atom_site_fract_x
_atom_site_fract_y
_atom_site_fract_z
_atom_site_occupancy
Zn1 Zn 0.0000 0.0000 0.0000 1
As1 As 0.0000 0.5000 0.5000 1
Pb1 Pb 0.5000 0.5000 0.5000 1
Se1 Se 0.5000 0.5000 0.0000 1
```



Computed, not measured: crystalline ZnAs2PbSe at its relaxed geometry at the PBE-GGA level of DFT.

Properties
Relative energy among the computed polymorphs: 0.000 eV per atom
Crystal system: tetragonal

```
data_ZnAs2PbSe
_chemical_formula_sum 'Zn1 As2 Pb1 Se1'
_cell_length_a 4.8625
_cell_length_b 4.8625
_cell_length_c 5.8692
_cell_angle_alpha 90.00
_cell_angle_beta 90.00
_cell_angle_gamma 90.00
_symmetry_space_group_name_H-M 'P 4/m m m'
_symmetry_Int_Tables_number 123
_symmetry_space_group_name_Hall '-P 4 2'
loop_
_atom_site_label
_atom_site_type_symbol
_atom_site_fract_x
_atom_site_fract_y
_atom_site_fract_z
_atom_site_occupancy
Zn1 Zn 0.0000 0.0000 0.0000 1
As1 As 0.0000 0.5000 0.0000 1
Pb1 Pb 0.5000 0.5000 0.5000 1
Se1 Se 0.0000 0.0000 0.5000 1
```



Computed, not measured: crystalline ZrAs2PbSe at its relaxed geometry at the PBE-GGA level of DFT.

Properties
Relative energy among the computed polymorphs: 0.927 eV per atom
Crystal system: tetragonal

```
data_ZrAs2PbSe
_chemical_formula_sum 'Zr1 As2 Pb1 Se1'
_cell_length_a 5.2706
_cell_length_b 5.2706
_cell_length_c 5.3830
_cell_angle_alpha 90.00
_cell_angle_beta 90.00
_cell_angle_gamma 90.00
_symmetry_space_group_name_H-M 'P 4/m m m'
_symmetry_Int_Tables_number 123
_symmetry_space_group_name_Hall '-P 4 2'
loop_
_atom_site_label
_atom_site_type_symbol
_atom_site_fract_x
_atom_site_fract_y
_atom_site_fract_z
_atom_site_occupancy
Zr1 Zr 0.0000 0.0000 0.0000 1
As1 As 0.0000 0.5000 0.5000 1
Pb1 Pb 0.5000 0.5000 0.5000 1
Se1 Se 0.5000 0.5000 0.0000 1
```



Computed, not measured: crystalline ZrAs2PbSe at its relaxed geometry at the PBE-GGA level of DFT.

Properties
Relative energy among the computed polymorphs: 0.000 eV per atom
Crystal system: tetragonal

```
data_ZrAs2PbSe
_chemical_formula_sum 'Zr1 As2 Pb1 Se1'
_cell_length_a 5.5875
_cell_length_b 5.5875
_cell_length_c 5.4811
_cell_angle_alpha 90.00
_cell_angle_beta 90.00
_cell_angle_gamma 90.00
_symmetry_space_group_name_H-M 'P 4/m m m'
_symmetry_Int_Tables_number 123
_symmetry_space_group_name_Hall '-P 4 2'
loop_
_atom_site_label
_atom_site_type_symbol
_atom_site_fract_x
_atom_site_fract_y
_atom_site_fract_z
_atom_site_occupancy
Zr1 Zr 0.0000 0.0000 0.0000 1
As1 As 0.0000 0.5000 0.0000 1
Pb1 Pb 0.5000 0.5000 0.5000 1
Se1 Se 0.0000 0.0000 0.5000 1
```



Computed, not measured: crystalline Si2AsPb at its relaxed geometry at the PBE-GGA level of DFT.

Properties
Relative energy among the computed polymorphs: 0.355 eV per atom
Crystal system: orthorhombic

```
data_Si2AsPb
_chemical_formula_sum 'Si4 As2 Pb2'
_cell_length_a 6.2999
_cell_length_b 7.2070
_cell_length_c 3.6871
_cell_angle_alpha 90.00
_cell_angle_beta 90.00
_cell_angle_gamma 90.00
_symmetry_space_group_name_H-M 'C m m m'
_symmetry_Int_Tables_number 65
_symmetry_space_group_name_Hall '-C 2 2'
loop_
_atom_site_label
_atom_site_type_symbol
_atom_site_fract_x
_atom_site_fract_y
_atom_site_fract_z
_atom_site_occupancy
Si1 Si 0.2500 0.2500 0.0000 1
As1 As 0.0000 0.0000 0.5000 1
Pb1 Pb 0.0000 0.5000 0.5000 1
```



Computed, not measured: crystalline Si2AsPb at its relaxed geometry at the PBE-GGA level of DFT.

Properties
Relative energy among the computed polymorphs: 0.257 eV per atom
Crystal system: orthorhombic

```
data_Si2AsPb
_chemical_formula_sum 'Si4 As2 Pb2'
_cell_length_a 3.5158
_cell_length_b 5.3929
_cell_length_c 9.0769
_cell_angle_alpha 90.00
_cell_angle_beta 90.00
_cell_angle_gamma 90.00
_symmetry_space_group_name_H-M 'I m m m'
_symmetry_Int_Tables_number 71
_symmetry_space_group_name_Hall '-I 2 2'
loop_
_atom_site_label
_atom_site_type_symbol
_atom_site_fract_x
_atom_site_fract_y
_atom_site_fract_z
_atom_site_occupancy
Si1 Si 0.0000 0.0000 0.2077 1
As1 As 0.0000 0.5000 0.5000 1
Pb1 Pb 0.0000 0.5000 0.0000 1
```



In the order shown, the computed DOS at the Fermi energy values come out to 4.10; 8.08; 8.84; 5.26; 4.54; 2.43; 4.12; 4.63; 4.66; 4.42; 5.63; 0.86; 1.98 states/eV/f.u..
In the order shown, the computed formation energy from raw total energies values come out to 1.918; -14.887; -15.199; -12.042; -17.153; -7.959; 0.308; 4.996; 1.994; 4.621; -0.014; 2.416; 2.022 eV per formula unit.
In the order shown, the computed electronic total energy values come out to -16.55; -168.06; -166.36; -123.23; -134.89; -41.40; -25.30; -12.77; -15.77; -20.42; -25.05; -33.58; -34.36 eV for the cell shown.